DFT (GGA-PBE) results for a relaxed structure of Be6Tc.

a = 6.814 Å, b = 4.217 Å, c = 8.452 Å
α = 90.00°, β = 90.00°, γ = 90.00°
Space group Pnma (No. 62)
Unique sites:
Be1 0.052 0.250 0.089
Be2 0.060 0.508 0.309
Be3 0.095 0.750 0.520
Be4 0.147 0.250 0.855
Be5 0.198 0.750 0.749
Tc1 0.249 0.750 0.071

## Properties
theoretical density: 4.16 Mg/m³
formation energy from the elements: -0.19 eV/atom

=====

DFT (GGA-PBE) results for a relaxed structure of Hg2B3Pd8.

a = 15.023 Å, b = 5.691 Å, c = 5.214 Å
α = 90.00°, β = 107.44°, γ = 90.00°
Space group C2/m (No. 12)
Unique sites:
Hg1 0.246 0.000 0.327
B1 0.000 0.000 0.500
B2 0.000 0.304 0.000
Pd1 0.079 0.000 0.905
Pd2 0.086 0.256 0.402
Pd3 0.106 0.500 0.914

## Properties
theoretical density: 10.04 Mg/m³
formation energy from the elements: -0.12 eV/atom

=====

DFT (GGA-PBE) results for a relaxed structure of LaGe6.

a = 7.062 Å, b = 7.062 Å, c = 7.062 Å
α = 90.00°, β = 90.00°, γ = 90.00°
Space group Im-3m (No. 229)
Unique sites:
La1 0.000 0.000 0.000
Ge1 0.000 0.250 0.500

## Properties
theoretical density: 5.42 Mg/m³
formation energy from the elements: 0.10 eV/atom

=====

DFT (GGA-PBE) results for a relaxed structure of As2WBr.

a = 3.318 Å, b = 3.318 Å, c = 7.891 Å
α = 90.00°, β = 90.00°, γ = 90.00°
Space group P4mm (No. 99)
Unique sites:
As1 0.000 0.000 0.000
As2 0.500 0.500 0.177
W1 0.500 0.500 0.846
Br1 0.000 0.000 0.608

## Properties
formation energy from raw total energies: 0.36 eV per atom
relative energy among the computed polymorphs: 280.8 meV per atom
theoretical density: 7.90 Mg/m³

=====

For the records above, the corresponding raw total energy values read -136.1 -127.6 -63.9 -22.5 eV for the cell shown.